# NaVO, relaxed, DFT PBE with a Hubbard U
# DFT total energy: -5.26 eV per atom
# N(E_F): 1.28 states/eV/cell
# symmetry: Pm
# size of the total moment: 1.27 μB/f.u.
data_NaVO
_chemical_formula_sum 'Na2 V2 O2'
_cell_length_a 2.977
_cell_length_b 3.222
_cell_length_c 10.794
_cell_angle_alpha 90.00
_cell_angle_beta 97.59
_cell_angle_gamma 90.00
_symmetry_space_group_name_H-M 'P 1'
_symmetry_Int_Tables_number 1
loop_
_symmetry_equiv_pos_as_xyz
'x,y,z'
loop_
_atom_site_label
_atom_site_type_symbol
_atom_site_fract_x
_atom_site_fract_y
_atom_site_fract_z
Na1 Na 0.000 0.000 0.000
Na2 Na 0.306 0.500 0.640
V1 V 0.114 0.500 0.239
V2 V 0.692 0.000 0.403
O1 O 0.555 0.500 0.116
O2 O 0.770 0.000 0.564